No. 1
VASP calculation (GGA-PBE) on a relaxed HoCuTeS crystal.

```
HoCuTeS
1.0
6.294 0.000 0.000
0.000 7.398 0.000
-0.362 0.000 7.379
Ho Cu Te S
4 4 4 4
Direct
0.140 0.022 0.272
0.140 0.478 0.772
0.860 0.522 0.228
0.860 0.978 0.728
0.425 0.657 0.465
0.425 0.843 0.965
0.575 0.157 0.035
0.575 0.343 0.535
0.373 0.108 0.720
0.373 0.392 0.220
0.627 0.608 0.780
0.627 0.892 0.280
0.075 0.731 0.500
0.075 0.769 0.000
0.925 0.231 0.000
0.925 0.269 0.500
```

- space-group type = P2_1/c
- E (eV for the cell shown) = -80.6


No. 2
VASP calculation (GGA-PBE) on a relaxed HoTlCuS3 crystal.

```
HoTlCuS3
1.0
8.715 0.000 0.000
0.000 3.906 0.000
-2.880 0.000 8.799
Ho Tl Cu S
2 2 2 6
Direct
0.175 0.250 0.146
0.825 0.750 0.854
0.293 0.750 0.776
0.707 0.250 0.224
0.416 0.750 0.397
0.584 0.250 0.603
0.038 0.250 0.841
0.313 0.250 0.464
0.389 0.750 0.140
0.611 0.250 0.860
0.687 0.750 0.536
0.962 0.750 0.159
```

- space-group type = P2_1/m
- E (eV for the cell shown) = -58.1


No. 3
VASP calculation (GGA-PBE) on a relaxed Ho2CuSb2 crystal.

```
Ho2CuSb2
1.0
2.265 -8.186 0.000
2.265 8.186 0.000
0.000 0.000 6.719
Ho Cu Sb
4 2 4
Direct
0.007 0.993 0.500
0.200 0.800 0.222
0.800 0.200 0.722
0.993 0.007 0.000
0.401 0.599 0.348
0.599 0.401 0.848
0.169 0.831 0.734
0.426 0.574 0.740
0.574 0.426 0.240
0.831 0.169 0.234
```

- space-group type = Cmc2_1
- E (eV for the cell shown) = -49.5


No. 4
VASP calculation (GGA-PBE) on a relaxed HoScCuSe3 crystal.

```
HoScCuSe3
1.0
1.918 -6.491 0.000
1.918 6.491 0.000
0.000 0.000 10.064
Ho Sc Cu Se
2 2 2 6
Direct
0.228 0.772 0.750
0.772 0.228 0.250
0.000 0.000 0.000
0.000 0.000 0.500
0.477 0.523 0.250
0.523 0.477 0.750
0.098 0.902 0.250
0.356 0.644 0.064
0.356 0.644 0.436
0.644 0.356 0.564
0.644 0.356 0.936
0.902 0.098 0.750
```

- space-group type = Cmcm
- E (eV for the cell shown) = -65.9